## Zn3Au2 (GGA-PBEsol)

Data for an optimized crystal structure of Zn3Au2.

```
Zn3Au2
1.0
-2.0918 -2.3054 2.9608
3.3371 -1.7138 -2.0937
3.2615 1.8120 3.7150
Zn Au
3 2
Direct
0.6667 0.3333 0.6427
0.3333 0.6667 0.3573
0.0000 0.0000 0.0000
0.3333 0.6667 0.8387
0.6667 0.3333 0.1613
```

Summary:
Its formation energy is -181 meV per atom. For the total energy, the calculation gives -13.50 eV for the cell shown. As for the density of states at the Fermi level: 1.46 states/eV/f.u. The value obtained for the excess energy over the best structure of this formula in the dataset is 1 meV per atom.